Crystalline ZrVRu3 at its relaxed geometry, computed with GGA-PBE.

Computed properties:
Size of the total moment ... 0.000 μB/f.u.
VASP energy ... -43.3 eV per cell

Cell lengths 4.447, 4.447, 4.447 Å; angles 90.00, 90.00, 90.00 degrees
Fractional positions:
Ru1 0.000 0.000 0.500
Ru2 0.500 0.000 0.000
Ru3 0.000 0.500 0.000
Zr1 0.500 0.500 0.500
V1 0.000 0.000 0.000